Compound: PrCoNO
Source: the Open Quantum Materials Database
Functional: GGA+U
Structure: optimized geometry

a = 3.5215 Å, b = 5.6940 Å, c = 5.7679 Å
α = 90.00°, β = 90.00°, γ = 90.00°
Fractional coordinates of all 8 atoms:
Pr  0.0000  0.2111  0.0000
Pr  0.0000  0.7889  0.5000
Co  0.5000  0.2418  0.5231
Co  0.5000  0.7582  0.0231
N  0.5000  0.0448  0.2485
N  0.5000  0.9552  0.7485
O  0.0000  0.3904  0.6054
O  0.0000  0.6096  0.1054

## Properties
The calculation puts the total energy at -6.996 eV/atom. Its total magnetization is 6.0 Bohr magnetons per cell. Its theoretical density is 6.60 Mg/m³.